# PmSm3Al

A relaxed structure of PmSm3Al (PBE-GGA, Alexandria via LeMat-Bulk).

The total moment is 0.00 Bohr magnetons per cell. Its energy is -4.650 eV/atom. The formation energy comes out at -0.120 eV per atom. The energy above the most stable polymorph in this dataset is 0 meV per atom.

The space group is P-1 (No. 2) and the conventional cell measures 3.7490, 8.6956 and 9.8754 Å, with angles of 103.71, 100.93 and 90.00 degrees. The distinct sites, in fractional coordinates, are Pm at (0.0980, 0.0454, 0.1966), Sm at (0.3025, 0.1861, 0.6056), Sm at (0.3157, 0.6165, 0.6309), Sm at (0.4989, 0.7105, 0.9992) and Al at (0.0975, 0.5604, 0.1949).